Compound: Ba2Al7Ag
Source: the Alexandria database
Functional: PBE
Structure: relaxed

Calculated values
Crystal system: tetragonal

Cell lengths 4.558, 4.558, 11.434 Å; angles 90.00, 90.00, 90.00 degrees
Space group P-4m2 (No. 115)
Inequivalent atoms, fractional coordinates:
Ba  0.000  0.500  0.247 x2
Al  0.000  0.000  0.000 x1
Al  0.000  0.500  0.629 x2
Al  0.000  0.500  0.867 x2
Al  0.500  0.500  0.000 x1
Al  0.500  0.500  0.500 x1
Ag  0.000  0.000  0.500 x1

---

Compound: Ba3Al8Ag3
Source: the Alexandria database
Functional: PBE
Structure: relaxed

Calculated values
Distance to the lowest polymorph of the same formula, meV/atom: 19
Crystal system: monoclinic

Cell lengths 17.365, 4.583, 11.401 Å; angles 90.00, 130.86, 90.00 degrees
Space group C2/m (No. 12)
Inequivalent atoms, fractional coordinates:
Ba  0.000  0.000  0.000 x2
Ba  0.210  0.500  0.710 x4
Al  0.001  0.500  0.314 x4
Al  0.111  0.000  0.819 x4
Al  0.117  0.000  0.404 x4
Al  0.174  0.500  0.348 x4
Ag  0.000  0.000  0.500 x2
Ag  0.179  0.500  0.984 x4

---

Quick rundown of raw total energy, same order as above: -3.529, -3.329 eV per atom
Quick rundown of formation enthalpy at 0 K, same order as above: -2.40, -2.34 eV per formula unit